[1]
Entry from Alexandria: a relaxed structure of TlCdRh2 (PBE).

Output
The formation energy comes out at 12 kJ per mole of atoms. Its calculated density is 12.06 Mg/m³. Its magnetization is 0.0 μB/f.u. Its distance to the lowest polymorph of the same formula is 170 meV/atom.

Cell lengths 5.744, 5.744, 5.744 Å; angles 149.01, 131.98, 58.25 degrees
Sites, in units of the cell vectors:
1 Cd 0.763 0.263 0.500
2 Rh 0.014 0.014 0.000
3 Rh 0.239 0.739 0.500
4 Tl 0.484 0.484 0.000

***

[2]
Entry from Alexandria: a relaxed structure of LaAlTc2 (PBE).

Output
The formation energy comes out at 25 kJ per mole of atoms. Its calculated density is 8.11 Mg/m³. Its magnetization is 0.6 μB/f.u.

Cell lengths 10.006, 10.006, 10.006 Å; angles 16.93, 16.93, 16.93 degrees
Sites, in units of the cell vectors:
1 Al 0.514 0.514 0.514
2 La 0.748 0.748 0.748
3 Tc 0.252 0.252 0.252
4 Tc 0.986 0.986 0.986

***

[3]
Entry from Alexandria: a relaxed structure of Mg2FePd2 (PBE).

Output
The formation energy comes out at -26 kJ per mole of atoms. Its calculated density is 6.18 Mg/m³. Its magnetization is 2.9 μB/f.u. Its distance to the lowest polymorph of the same formula is 0 meV/atom.

Cell lengths 6.595, 6.595, 3.922 Å; angles 90.00, 90.00, 90.00 degrees
Sites, in units of the cell vectors:
1 Pd 0.143 0.357 0.000
2 Fe 0.000 0.000 0.000
3 Mg 0.835 0.335 0.500
4 Pd 0.643 0.143 0.000
5 Mg 0.335 0.165 0.500
6 Mg 0.165 0.665 0.500
7 Pd 0.857 0.643 0.000
8 Fe 0.500 0.500 0.000
9 Pd 0.357 0.857 0.000
10 Mg 0.665 0.835 0.500

***

[4]
Entry from Alexandria: a relaxed structure of LaPmY6 (PBE).

Output
The formation energy comes out at 54 kJ per mole of atoms. Its calculated density is 4.64 Mg/m³. Its magnetization is 0.0 μB/f.u. Its distance to the lowest polymorph of the same formula is 190 meV/atom.

Cell lengths 8.730, 8.730, 6.710 Å; angles 49.42, 49.42, 60.00 degrees
Sites, in units of the cell vectors:
1 La 0.000 0.000 0.000
2 Y 0.846 0.846 0.826
3 Y 0.154 0.519 0.174
4 Y 0.846 0.481 0.826
5 Y 0.154 0.154 0.174
6 Y 0.519 0.154 0.174
7 Pm 0.500 0.500 0.500
8 Y 0.481 0.846 0.826

***

[5]
Entry from Alexandria: a relaxed structure of CsPr2HgS4 (PBE).

Output
Its calculated density is 5.32 Mg/m³. The raw total energy is -4.793 eV per atom. Its magnetization is 0.0 μB/f.u.

Cell lengths 4.312, 7.560, 14.865 Å; angles 90.00, 90.00, 106.57 degrees
Sites, in units of the cell vectors:
1 S 0.000 0.000 0.000
2 S 0.741 0.483 0.600
3 Pr 0.626 0.252 0.445
4 S 0.565 0.131 0.250
5 S 0.435 0.869 0.750
6 Pr 0.626 0.252 0.055
7 S 0.741 0.483 0.900
8 S 0.259 0.517 0.400
9 Cs 0.117 0.234 0.750
10 S 0.259 0.517 0.100
11 S 0.000 0.000 0.500
12 Hg 0.163 0.326 0.250
13 Cs 0.883 0.766 0.250
14 Pr 0.374 0.748 0.945
15 Pr 0.374 0.748 0.555
16 Hg 0.837 0.674 0.750

***

[6]
Entry from Alexandria: a relaxed structure of CrIn4Re (PBE).

Output
The formation energy comes out at 98 kJ per mole of atoms. Its calculated density is 9.15 Mg/m³. Its magnetization is 5.0 μB/f.u.

Cell lengths 5.636, 5.636, 5.636 Å; angles 60.00, 60.00, 60.00 degrees
Sites, in units of the cell vectors:
1 Re 0.750 0.750 0.750
2 In 0.375 0.875 0.375
3 Cr 0.000 0.000 0.000
4 In 0.375 0.375 0.375
5 In 0.875 0.375 0.375
6 In 0.375 0.375 0.875

***

[7]
Entry from Alexandria: a relaxed structure of HfNbCu (PBE).

Output
The formation energy comes out at 4 kJ per mole of atoms. Its calculated density is 10.52 Mg/m³. Its magnetization is 0.0 μB/f.u. Its distance to the lowest polymorph of the same formula is 165 meV/atom.

Cell lengths 6.874, 3.014, 10.840 Å; angles 90.00, 109.67, 90.00 degrees
Sites, in units of the cell vectors:
1 Nb 0.754 0.500 0.474
2 Nb 0.246 0.000 0.026
3 Hf 0.377 0.500 0.829
4 Cu 0.959 0.000 0.334
5 Cu 0.041 0.000 0.666
6 Cu 0.959 0.500 0.834
7 Hf 0.623 0.000 0.671
8 Hf 0.377 0.000 0.329
9 Hf 0.623 0.500 0.171
10 Cu 0.041 0.500 0.166
11 Nb 0.754 0.000 0.974
12 Nb 0.246 0.500 0.526

***

[8]
Entry from Alexandria: a relaxed structure of K6Na3GaSb4 (PBE).

Output
Its calculated density is 2.96 Mg/m³. The raw total energy is -2.600 eV per atom. Its magnetization is 0.0 μB/f.u.

Cell lengths 10.288, 10.288, 10.548 Å; angles 90.00, 90.00, 120.00 degrees
Sites, in units of the cell vectors:
1 Sb 0.000 0.000 0.500
2 Ga 0.333 0.667 0.250
3 K 0.414 0.207 0.459
4 K 0.207 0.793 0.959
5 K 0.207 0.414 0.541
6 Na 0.884 0.116 0.750
7 K 0.414 0.207 0.041
8 Sb 0.963 0.482 0.750
9 Sb 0.037 0.518 0.250
10 K 0.793 0.207 0.459
11 Na 0.116 0.884 0.250
12 Sb 0.518 0.037 0.750
13 K 0.793 0.586 0.459
14 K 0.207 0.414 0.959
15 Na 0.116 0.231 0.250
16 K 0.207 0.793 0.541
17 Sb 0.482 0.963 0.250
18 K 0.586 0.793 0.541
19 Sb 0.482 0.518 0.250
20 Na 0.231 0.116 0.750
21 K 0.586 0.793 0.959
22 K 0.793 0.586 0.041
23 Sb 0.000 0.000 0.000
24 Sb 0.518 0.482 0.750
25 Ga 0.667 0.333 0.750
26 Na 0.769 0.884 0.250
27 Na 0.884 0.769 0.750
28 K 0.793 0.207 0.041

***

[9]
Entry from Alexandria: a relaxed structure of KMgMo2 (PBE).

Output
The formation energy comes out at 117 kJ per mole of atoms. Its calculated density is 5.28 Mg/m³. Its magnetization is 0.0 μB/f.u.

Cell lengths 6.042, 6.042, 2.682 Å; angles 90.00, 90.00, 124.99 degrees
Sites, in units of the cell vectors:
1 Mo 0.500 0.500 0.000
2 K 0.500 0.000 0.500
3 Mo 0.000 0.000 0.000
4 Mg 0.000 0.500 0.500

***

[10]
Entry from Alexandria: a relaxed structure of FePIr2 (PBE).

Output
The formation energy comes out at 9 kJ per mole of atoms. Its calculated density is 14.66 Mg/m³. Its magnetization is 2.6 μB/f.u.

Cell lengths 4.396, 4.396, 2.825 Å; angles 90.00, 90.00, 102.09 degrees
Sites, in units of the cell vectors:
1 Ir 0.000 0.000 0.000
2 Fe 0.000 0.500 0.500
3 P 0.500 0.000 0.500
4 Ir 0.500 0.500 0.000

***

[11]
Entry from Alexandria: a relaxed structure of RbLuBr3 (PBE).

Output
Its calculated density is 4.86 Mg/m³. The raw total energy is -3.584 eV per atom. Its magnetization is 0.0 μB/f.u.

Cell lengths 5.548, 5.548, 5.548 Å; angles 90.00, 90.00, 90.00 degrees
Sites, in units of the cell vectors:
1 Br 0.000 0.500 0.000
2 Rb 0.500 0.500 0.500
3 Br 0.000 0.000 0.500
4 Lu 0.000 0.000 0.000
5 Br 0.500 0.000 0.000

***

[12]
Entry from Alexandria: a relaxed structure of TcBRu2 (PBE).

Output
The formation energy comes out at 68 kJ per mole of atoms. Its calculated density is 7.95 Mg/m³. Its magnetization is 0.0 μB/f.u. Its distance to the lowest polymorph of the same formula is 744 meV/atom.

Cell lengths 5.025, 5.025, 6.253 Å; angles 66.31, 66.31, 90.00 degrees
Sites, in units of the cell vectors:
1 B 0.500 0.500 0.000
2 B 0.250 0.750 0.500
3 Ru 0.875 0.812 0.750
4 Ru 0.562 0.125 0.250
5 Ru 0.375 0.438 0.750
6 Tc 0.750 0.250 0.500
7 Ru 0.188 0.625 0.250
8 Tc 0.000 0.000 0.000

***

[13]
Entry from Alexandria: a relaxed structure of In6NiPd12 (PBE).

Output
The formation energy comes out at -35 kJ per mole of atoms. Its calculated density is 9.95 Mg/m³. Its magnetization is 0.0 μB/f.u.

Cell lengths 7.397, 7.397, 7.397 Å; angles 106.92, 106.92, 106.92 degrees
Sites, in units of the cell vectors:
1 Pd 0.184 0.488 0.604
2 Pd 0.396 0.816 0.512
3 Pd 0.488 0.604 0.184
4 Pd 0.118 0.270 0.838
5 In 0.549 0.793 0.904
6 Pd 0.270 0.838 0.118
7 Pd 0.882 0.730 0.162
8 Pd 0.730 0.162 0.882
9 In 0.904 0.549 0.793
10 Pd 0.816 0.512 0.396
11 Pd 0.162 0.882 0.730
12 Ni 0.000 0.000 0.000
13 In 0.207 0.096 0.451
14 In 0.793 0.904 0.549
15 Pd 0.604 0.184 0.488
16 In 0.096 0.451 0.207
17 Pd 0.512 0.396 0.816
18 Pd 0.838 0.118 0.270
19 In 0.451 0.207 0.096

***

[14]
Entry from Alexandria: a relaxed structure of NaIrO2F (PBE).

Output
Its calculated density is 7.19 Mg/m³. The raw total energy is -3.675 eV per atom. Its magnetization is 2.2 μB/f.u.

Cell lengths 4.040, 4.040, 3.765 Å; angles 90.00, 90.00, 90.00 degrees
Sites, in units of the cell vectors:
1 Na 0.000 0.000 0.000
2 Ir 0.500 0.500 0.500
3 O 0.000 0.500 0.000
4 O 0.500 0.000 0.000
5 F 0.000 0.000 0.500